# 1
This record from the Alexandria database describes an optimized crystal structure of AgTeOs. The functional is PBE-GGA.

As for the total moment: 0.00 Bohr magnetons per cell. The density of states at the Fermi level comes out at 1.24 states/eV/f.u. The offset from the most stable computed form comes out at 0.27 eV/f.u.

The space group is P4mm (No. 99) and the conventional cell measures 3.167, 3.167 and 6.237 Å, with angles of 90.00, 90.00 and 90.00 degrees. The inequivalent atoms are Ag at (0.000, 0.000, 0.000), Te at (0.000, 0.000, 0.539) and Os at (0.500, 0.500, 0.309).


# 2
This record from the Alexandria database describes an optimized crystal structure of Ta2Ni2Mo. The functional is PBE-GGA.

As for the total moment: 0.00 Bohr magnetons per cell. The density of states at the Fermi level comes out at 3.81 states/eV/f.u. The calculated formation energy is 0.166 eV/atom. The offset from the most stable computed form comes out at 1.16 eV/f.u.

The space group is I4/mmm (No. 139) and the conventional cell measures 3.293, 3.293 and 14.426 Å, with angles of 90.00, 90.00 and 90.00 degrees. The inequivalent atoms are Ta at (0.000, 0.000, 0.106), Ni at (0.000, 0.500, 0.250) and Mo at (0.000, 0.000, 0.500).


# 3
This record from the Alexandria database describes an optimized crystal structure of NaPmAu2. The functional is PBE-GGA.

As for the total moment: 0.00 Bohr magnetons per cell. The density of states at the Fermi level comes out at 2.59 states/eV/f.u. The calculated formation energy is -0.590 eV/atom.

The space group is Fm-3m (No. 225) and the conventional cell measures 7.184, 7.184 and 7.184 Å, with angles of 90.00, 90.00 and 90.00 degrees. The inequivalent atoms are Na at (0.000, 0.000, 0.000), Pm at (0.000, 0.000, 0.500) and Au at (0.250, 0.250, 0.250).


# 4
This record from the Alexandria database describes an optimized crystal structure of CdGa2GeAu. The functional is PBE-GGA.

As for the total moment: 0.00 Bohr magnetons per cell. The density of states at the Fermi level comes out at 1.92 states/eV/f.u. The calculated formation energy is 0.276 eV/atom.

The space group is P4/mmm (No. 123) and the conventional cell measures 5.109, 5.109 and 4.946 Å, with angles of 90.00, 90.00 and 90.00 degrees. The inequivalent atoms are Cd at (0.000, 0.000, 0.000), Ga at (0.000, 0.500, 0.500), Ge at (0.500, 0.500, 0.500) and Au at (0.500, 0.500, 0.000).


# 5
This record from the Alexandria database describes an optimized crystal structure of Li2YP2. The functional is PBE-GGA.

As for the total moment: 0.00 Bohr magnetons per cell. The density of states at the Fermi level comes out at 2.62 states/eV/f.u. The calculated formation energy is -0.874 eV/atom.

The space group is I4/mmm (No. 139) and the conventional cell measures 3.899, 3.899 and 10.815 Å, with angles of 90.00, 90.00 and 90.00 degrees. The inequivalent atoms are Li at (0.000, 0.500, 0.250), Y at (0.000, 0.000, 0.000) and P at (0.000, 0.000, 0.392).


# 6
This record from the Alexandria database describes an optimized crystal structure of Pu3Np2S8. The functional is PBE-GGA.

As for the total moment: 4.68 Bohr magnetons per cell. The density of states at the Fermi level comes out at 49.70 states/eV/f.u.

The space group is Cmmm (No. 65) and the conventional cell measures 9.428, 13.282 and 4.703 Å, with angles of 90.00, 90.00 and 90.00 degrees. The inequivalent atoms are Pu at (0.000, 0.000, 0.000), Pu at (0.224, 0.500, 0.500), Np at (0.000, 0.264, 0.000), S at (0.000, 0.119, 0.500), S at (0.000, 0.370, 0.500) and S at (0.242, 0.124, 0.000).


# 7
This record from the Alexandria database describes an optimized crystal structure of BaCuRh2. The functional is PBE-GGA.

As for the total moment: 0.06 Bohr magnetons per cell. The density of states at the Fermi level comes out at 6.23 states/eV/f.u. The calculated formation energy is 0.274 eV/atom. The offset from the most stable computed form comes out at 1.53 eV/f.u.

The space group is P4mm (No. 99) and the conventional cell measures 3.330, 3.330 and 7.256 Å, with angles of 90.00, 90.00 and 90.00 degrees. The inequivalent atoms are Ba at (0.000, 0.000, 0.000), Cu at (0.500, 0.500, 0.326), Rh at (0.000, 0.000, 0.502) and Rh at (0.500, 0.500, 0.673).


# 8
This record from the Alexandria database describes an optimized crystal structure of YZr2Os3. The functional is PBE-GGA.

As for the total moment: 0.00 Bohr magnetons per cell. The density of states at the Fermi level comes out at 0.90 states/eV/f.u. The calculated formation energy is -0.390 eV/atom.

The space group is P4/mmm (No. 123) and the conventional cell measures 3.317, 3.317 and 10.057 Å, with angles of 90.00, 90.00 and 90.00 degrees. The inequivalent atoms are Y at (0.000, 0.000, 0.000), Zr at (0.000, 0.000, 0.336), Os at (0.500, 0.500, 0.183) and Os at (0.500, 0.500, 0.500).


| no. | VASP energy (eV/f.u.) |
| --- | --- |
| 1 | -15.7 |
| 2 | -45.3 |
| 3 | -15.0 |
| 4 | -13.5 |
| 5 | -25.5 |
| 6 | -119.9 |
| 7 | -19.6 |
| 8 | -59.6 |